## Ta4MnP (PBEsol)

Data for Ta4MnP after structural relaxation.

Computed properties:
- Energy of formation from the pure elements: 763 meV/atom
- Mass density: 12.7 g/cm³
- Calculated total energy: -10.1965 eV per atom
- M_tot: 2.13 Bohr magnetons per cell
- Space-group type: F-43m

Unit cell a=5.3133 b=5.3133 c=5.3133 alpha=60.00 beta=60.00 gamma=60.00
Fractional coordinates of all 6 atoms:
Ta 0.1248 0.1248 0.1248
Ta 0.1248 0.1248 0.6257
Ta 0.1248 0.6257 0.1248
Ta 0.6257 0.1248 0.1248
Mn 0.7500 0.7500 0.7500
P 0.5000 0.5000 0.5000